CrRhCl2: relaxed, GGA-PBE.

a = 4.5155 Å, b = 4.5155 Å, c = 3.2950 Å
α = 90.00°, β = 90.00°, γ = 90.00°
Space group P4/mmm (No. 123)
Inequivalent atoms, fractional coordinates:
Cr (0.0000, 0.0000, 0.0000) (multiplicity 1)
Rh (0.5000, 0.5000, 0.0000) (multiplicity 1)
Cl (0.0000, 0.5000, 0.5000) (multiplicity 2)

Calculated values
- Uncorrected formation energy: 308 meV per atom